*P*
Ho3AgPd: optimized geometry, PBE-GGA.

```
Ho3AgPd
1.0
4.8854 0.0000 1.1164
0.0000 5.0024 0.0000
0.2675 0.0000 10.0767
Ho Ag Pd
6 2 2
Direct
0.8917 0.7500 0.8650
0.2570 0.7500 0.1344
0.7567 0.2500 0.1350
0.0740 0.7500 0.5004
0.3913 0.2500 0.8656
0.5744 0.2500 0.4996
0.1664 0.2500 0.3156
0.4820 0.7500 0.6844
0.6624 0.7500 0.3236
0.9860 0.2500 0.6764
```

Output
Density of states at the Fermi level (states/eV/atom): 1.11

***

*Q*
Ho3AgPd: optimized geometry, PBE-GGA.

```
Ho3AgPd
1.0
3.8209 -0.0005 -0.0008
0.0014 8.8350 0.2200
0.0024 3.2782 8.2120
Ho Pd Ag
6 2 2
Direct
0.3632 0.3555 0.4079
0.8628 0.7652 0.4402
0.8636 0.0000 0.6756
0.8636 0.3885 0.8168
0.8628 0.6231 0.0524
0.3632 0.0332 0.0852
0.3637 0.1941 0.7465
0.3628 0.6943 0.2462
0.3633 0.6941 0.7464
0.8632 0.1936 0.2472
```

Output
Density of states at the Fermi level (states/eV/atom): 1.02

***

Which of them is most stable? Easy: *P*.

***

*P*
PmHoAgPd: optimized geometry, PBE-GGA.

```
PmHoAgPd
1.0
3.7920 0.0000 0.0000
0.0000 4.7569 0.0000
-1.8960 0.0000 5.4028
Pd Ho Ag Pm
1 1 1 1
Direct
0.5844 0.5000 0.1688
0.1375 0.0000 0.2749
0.4196 0.0000 0.8392
0.8585 0.5000 0.7171
```

Output
Density of states at the Fermi level (states/eV/atom): 0.62

***

*Q*
PmHoAgPd: optimized geometry, PBE-GGA.

```
PmHoAgPd
1.0
5.1062 0.0000 0.0000
2.5531 4.4221 0.0000
2.5531 1.4740 4.1692
Pm Ag Ho Pd
1 1 1 1
Direct
0.5000 0.5000 0.5000
0.2500 0.2500 0.2500
0.0000 0.0000 0.0000
0.7500 0.7500 0.7500
```

Output
Density of states at the Fermi level (states/eV/atom): 0.69

***

Which of them is most stable? Easy: *P*.

***

*P*
HoAgPdRh: optimized geometry, PBE-GGA.

```
HoAgPdRh
1.0
4.6733 0.0000 0.0000
2.3366 4.0472 0.0000
2.3366 1.3491 3.8157
Ho Pd Rh Ag
1 1 1 1
Direct
0.7500 0.7500 0.7500
0.5000 0.5000 0.5000
0.0000 0.0000 0.0000
0.2500 0.2500 0.2500
```

Output
Density of states at the Fermi level (states/eV/atom): 0.24

***

*Q*
HoAgPdRh: optimized geometry, PBE-GGA.

```
HoAgPdRh
1.0
-1.8773 -2.0916 -2.6703
3.4685 -0.1026 -2.3581
1.2456 -3.6602 1.9914
Ho Ag Pd Rh
1 1 1 1
Direct
0.0000 0.5000 0.5000
0.0000 0.0000 0.0000
0.5000 0.5000 0.0000
0.5000 0.0000 0.5000
```

Output
Density of states at the Fermi level (states/eV/atom): 0.71

***

Which of them is most stable? Easy: *Q*.

***

*P*
HoTmAgPd: optimized geometry, PBE-GGA.

```
HoTmAgPd
1.0
5.0037 0.0000 0.0000
2.5018 4.3333 0.0000
2.5018 1.4444 4.0855
Tm Ho Pd Ag
1 1 1 1
Direct
0.0000 0.0000 0.0000
0.5000 0.5000 0.5000
0.2500 0.2500 0.2500
0.7500 0.7500 0.7500
```

Output
Density of states at the Fermi level (states/eV/atom): 0.86

***

*Q*
HoTmAgPd: optimized geometry, PBE-GGA.

```
HoTmAgPd
1.0
-2.9214 0.2619 1.9627
-1.9342 -1.1264 -2.7286
0.8581 -6.7493 2.1778
Ho Tm Pd Ag
1 1 1 1
Direct
0.5000 0.5000 0.1173
0.5000 0.5000 0.5964
0.0000 0.0000 0.3618
0.0000 0.0000 0.8524
```

Output
Density of states at the Fermi level (states/eV/atom): 0.76

***

Which of them is most stable? Easy: *Q*.

***

*P*
Pm3Ho2Ag2: optimized geometry, PBE-GGA.

```
Pm3Ho2Ag2
1.0
3.7570 0.0000 0.0000
-1.8785 6.5060 -0.3715
0.0000 -3.4576 8.6023
Pm Ag Ho
3 2 2
Direct
0.3906 0.7813 0.5551
0.6094 0.2187 0.4449
0.5000 0.0000 0.0000
0.1768 0.3535 0.2217
0.8232 0.6465 0.7783
0.1479 0.2958 0.8135
0.8521 0.7042 0.1865
```

Output
Density of states at the Fermi level (states/eV/atom): 1.00

***

*Q*
Pm3Ho2Ag2: optimized geometry, PBE-GGA.

```
Pm3Ho2Ag2
1.0
-3.1946 3.6134 -0.7333
-2.5361 -1.9817 1.2834
0.5900 5.9002 10.2762
Ho Pm Ag
2 3 2
Direct
0.7083 0.5000 0.5833
0.2917 0.5000 0.4167
0.1398 0.0000 0.7204
0.0000 0.0000 0.0000
0.8602 0.0000 0.2796
0.4294 0.5000 0.1412
0.5706 0.5000 0.8588
```

Output
Density of states at the Fermi level (states/eV/atom): 1.22

***

Which of them is most stable? Easy: *P*.

***

*P*
Pm2HoAg: optimized geometry, PBE-GGA.

```
Pm2HoAg
1.0
6.2443 0.0000 0.0000
0.0000 6.5072 -0.0580
-3.1221 -1.6815 5.7633
Pm Ho Ag
4 2 2
Direct
0.2212 0.1083 0.4298
0.7788 0.8917 0.5702
0.2086 0.6083 0.4298
0.7914 0.3917 0.5702
0.3302 0.2500 0.0000
0.6698 0.7500 0.0000
0.8065 0.2500 0.0000
0.1935 0.7500 0.0000
```

Output
Density of states at the Fermi level (states/eV/atom): 1.17

***

*Q*
Pm2HoAg: optimized geometry, PBE-GGA.

```
Pm2HoAg
1.0
4.9942 0.0000 -1.3851
-0.3841 4.9794 -1.3851
-0.0668 -0.0722 9.4553
Ho Ag Pm
2 2 4
Direct
0.8518 0.8518 0.7036
0.1482 0.1482 0.2964
0.2500 0.7500 0.5000
0.7500 0.2500 0.5000
0.6406 0.6406 0.2811
0.5000 0.0000 0.0000
0.3594 0.3594 0.7189
0.0000 0.5000 0.0000
```

Output
Density of states at the Fermi level (states/eV/atom): 1.37

***

Which of them is most stable? Easy: *Q*.